Below is crystalline NaNiF at its relaxed geometry, with properties calculated at the PBE+U level.

Unit cell a=3.994 b=3.994 c=6.605 alpha=90.00 beta=90.00 gamma=90.00
Space group P4/nmm (No. 129, origin choice 2)
Symmetry-distinct sites (fractional):
Na1 0.250 0.250 0.113 (multiplicity 2)
Ni1 0.250 0.250 0.558 (multiplicity 2)
F1 0.250 0.750 0.000 (multiplicity 2)

## Properties
The calculation puts the polymorph energy (0 for the lowest one) at 0.3810 eV per atom. The energy comes out at -0.1034 Ha/atom. For the volume, the calculation gives 17.56 Å³ per atom.

=====

Below is crystalline NaNiF5 at its relaxed geometry, with properties calculated at the PBE+U level.

Unit cell a=8.958 b=6.348 c=7.487 alpha=90.00 beta=114.68 gamma=90.00
Space group C2/c (No. 15)
Symmetry-distinct sites (fractional):
Na1 0.000 0.040 0.250 (multiplicity 4)
Ni1 0.000 0.500 0.000 (multiplicity 4)
F1 0.000 0.436 0.250 (multiplicity 4)
F2 0.024 0.220 0.979 (multiplicity 8)
F3 0.218 0.467 0.614 (multiplicity 8)

## Properties
The energy comes out at -0.1337 Ha/atom. For the volume, the calculation gives 13.82 Å³ per atom.

=====

Below is crystalline NaNi4F8 at its relaxed geometry, with properties calculated at the PBE+U level.

Unit cell a=6.2157 b=6.2157 c=15.7246 alpha=90.00 beta=90.00 gamma=120.00
Space group R-3m (No. 166, hexagonal axes)
Symmetry-distinct sites (fractional):
Na1 0.0000 0.0000 0.0000 (multiplicity 3)
Ni1 0.0000 0.0000 0.5000 (multiplicity 3)
Ni2 0.0000 0.5000 0.5000 (multiplicity 9)
F1 0.0000 0.0000 0.2280 (multiplicity 6)
F2 0.0070 0.5035 0.2349 (multiplicity 18)

## Properties
The energy comes out at -0.1482 Ha/atom. For the volume, the calculation gives 13.49 Å³ per atom.

=====

Below is crystalline NaNiF6 at its relaxed geometry, with properties calculated at the PBE+U level.

Unit cell a=8.109 b=6.917 c=8.039 alpha=90.00 beta=92.37 gamma=90.00
Space group C2/c (No. 15)
Symmetry-distinct sites (fractional):
Na1 0.000 0.028 0.250 (multiplicity 4)
Ni1 0.250 0.250 0.000 (multiplicity 4)
F1 0.062 0.328 0.087 (multiplicity 8)
F2 0.165 0.273 0.792 (multiplicity 8)
F3 0.172 0.007 0.007 (multiplicity 8)

## Properties
The energy comes out at -0.1243 Ha/atom. For the volume, the calculation gives 14.08 Å³ per atom.

=====

Below is crystalline Na3NiF6 at its relaxed geometry, with properties calculated at the PBE+U level.

Unit cell a=5.515 b=5.758 c=9.638 alpha=90.00 beta=124.46 gamma=90.00
Space group P2_1/c (No. 14)
Symmetry-distinct sites (fractional):
Na1 0.000 0.000 0.000 (multiplicity 2)
Na2 0.225 0.059 0.745 (multiplicity 4)
Ni1 0.500 0.000 0.500 (multiplicity 2)
F1 0.167 0.180 0.447 (multiplicity 4)
F2 0.259 0.726 0.428 (multiplicity 4)
F3 0.394 0.055 0.276 (multiplicity 4)

## Properties
The calculation puts the polymorph energy (0 for the lowest one) at 0.0000 eV per atom. The energy comes out at -0.1533 Ha/atom. For the volume, the calculation gives 12.62 Å³ per atom.

=====

Below is crystalline NaNiF2 at its relaxed geometry, with properties calculated at the PBE+U level.

Unit cell a=5.614 b=5.614 c=5.614 alpha=90.00 beta=90.00 gamma=90.00
Space group Fm-3m (No. 225)
Symmetry-distinct sites (fractional):
Na1 0.000 0.000 0.000 (multiplicity 4)
Ni1 0.000 0.000 0.500 (multiplicity 4)
F1 0.250 0.250 0.250 (multiplicity 8)

## Properties
The calculation puts the polymorph energy (0 for the lowest one) at 0.5688 eV per atom. The energy comes out at -0.1143 Ha/atom. For the volume, the calculation gives 11.06 Å³ per atom.

=====

Below is crystalline NaNiF at its relaxed geometry, with properties calculated at the PBE+U level.

Unit cell a=11.619 b=3.140 c=5.463 alpha=90.00 beta=106.94 gamma=90.00
Space group Cm (No. 8)
Symmetry-distinct sites (fractional):
Na1 0.000 0.000 0.000 (multiplicity 2)
Na2 0.171 0.000 0.625 (multiplicity 2)
Ni1 0.247 0.500 0.204 (multiplicity 2)
Ni2 0.403 0.000 0.391 (multiplicity 2)
F1 0.074 0.500 0.327 (multiplicity 2)
F2 0.112 0.500 0.861 (multiplicity 2)

## Properties
The calculation puts the polymorph energy (0 for the lowest one) at 0.1760 eV per atom. The energy comes out at -0.1109 Ha/atom. For the volume, the calculation gives 15.89 Å³ per atom.

=====

Below is crystalline NaNiF at its relaxed geometry, with properties calculated at the PBE+U level.

Unit cell a=2.933 b=4.344 c=6.678 alpha=90.00 beta=90.00 gamma=90.00
Space group Pmmn (No. 59, origin choice 2)
Symmetry-distinct sites (fractional):
Na1 0.250 0.250 0.132 (multiplicity 2)
Ni1 0.250 0.750 0.447 (multiplicity 2)
F1 0.250 0.750 0.125 (multiplicity 2)

## Properties
The calculation puts the polymorph energy (0 for the lowest one) at 0.1066 eV per atom. The energy comes out at -0.1134 Ha/atom. For the volume, the calculation gives 14.18 Å³ per atom.

=====

Below is crystalline NaNiF at its relaxed geometry, with properties calculated at the PBE+U level.

Unit cell a=18.309 b=2.935 c=3.112 alpha=90.00 beta=90.02 gamma=90.00
Space group Cm (No. 8)
Symmetry-distinct sites (fractional):
Na1 0.000 0.000 0.000 (multiplicity 2)
Na2 0.152 0.000 0.501 (multiplicity 2)
Ni1 0.284 0.500 0.998 (multiplicity 2)
Ni2 0.351 0.000 0.498 (multiplicity 2)
F1 0.107 0.500 0.001 (multiplicity 2)
F2 0.462 0.000 0.500 (multiplicity 2)

## Properties
The calculation puts the polymorph energy (0 for the lowest one) at 0.0135 eV per atom. The energy comes out at -0.1169 Ha/atom. For the volume, the calculation gives 13.94 Å³ per atom.

=====

Below is crystalline Na6NiF8 at its relaxed geometry, with properties calculated at the PBE+U level.

Unit cell a=9.306 b=9.306 c=9.306 alpha=90.00 beta=90.00 gamma=90.00
Space group Fm-3m (No. 225)
Symmetry-distinct sites (fractional):
Na1 0.000 0.250 0.250 (multiplicity 24)
Ni1 0.000 0.000 0.000 (multiplicity 4)
F1 0.000 0.000 0.220 (multiplicity 24)
F2 0.250 0.250 0.250 (multiplicity 8)

## Properties
The energy comes out at -0.1594 Ha/atom. For the volume, the calculation gives 13.43 Å³ per atom.

=====

Below is crystalline Na2NiF4 at its relaxed geometry, with properties calculated at the PBE+U level.

Unit cell a=5.475 b=5.671 c=11.535 alpha=90.00 beta=90.00 gamma=90.00
Space group Pbca (No. 61)
Symmetry-distinct sites (fractional):
Na1 0.005 0.067 0.153 (multiplicity 8)
Ni1 0.000 0.000 0.500 (multiplicity 4)
F1 0.095 0.036 0.666 (multiplicity 8)
F2 0.197 0.201 0.963 (multiplicity 8)

## Properties
The calculation puts the polymorph energy (0 for the lowest one) at 0.0000 eV per atom. The energy comes out at -0.1590 Ha/atom. For the volume, the calculation gives 12.79 Å³ per atom.

=====

Below is crystalline NaNiF at its relaxed geometry, with properties calculated at the PBE+U level.

Unit cell a=3.0060 b=3.0060 c=11.0746 alpha=90.00 beta=90.00 gamma=120.00
Space group P-6m2 (No. 187)
Symmetry-distinct sites (fractional):
Na1 0.0000 0.0000 0.0000 (multiplicity 1)
Na2 0.0000 0.0000 0.5000 (multiplicity 1)
Ni1 0.3333 0.6667 0.2280 (multiplicity 2)
F1 0.6667 0.3333 0.3683 (multiplicity 2)

## Properties
The calculation puts the polymorph energy (0 for the lowest one) at 0.5256 eV per atom. The energy comes out at -0.0980 Ha/atom. For the volume, the calculation gives 14.44 Å³ per atom.

=====

Below is crystalline Na3Ni5F12 at its relaxed geometry, with properties calculated at the PBE+U level.

Unit cell a=12.881 b=12.881 c=12.881 alpha=90.00 beta=90.00 gamma=90.00
Space group Ia-3d (No. 230)
Symmetry-distinct sites (fractional):
Na1 0.000 0.250 0.125 (multiplicity 24)
Ni1 0.000 0.000 0.000 (multiplicity 16)
Ni2 0.000 0.250 0.375 (multiplicity 24)
F1 0.022 0.047 0.649 (multiplicity 96)

## Properties
The energy comes out at -0.1497 Ha/atom. For the volume, the calculation gives 13.36 Å³ per atom.

=====

Below is crystalline NaNiF at its relaxed geometry, with properties calculated at the PBE+U level.

Unit cell a=4.519 b=4.520 c=8.053 alpha=90.00 beta=90.08 gamma=90.00
Space group Cm (No. 8)
Symmetry-distinct sites (fractional):
Na1 0.000 0.000 0.000 (multiplicity 2)
Na2 0.000 0.500 0.308 (multiplicity 2)
Ni1 0.498 0.500 0.598 (multiplicity 2)
Ni2 0.499 0.000 0.730 (multiplicity 2)
F1 0.000 0.000 0.286 (multiplicity 2)
F2 0.000 0.500 0.997 (multiplicity 2)

## Properties
The calculation puts the polymorph energy (0 for the lowest one) at 0.0000 eV per atom. The energy comes out at -0.1174 Ha/atom. For the volume, the calculation gives 13.71 Å³ per atom.

=====

Below is crystalline NaNiF at its relaxed geometry, with properties calculated at the PBE+U level.

Unit cell a=3.7125 b=3.7125 c=8.8515 alpha=90.00 beta=90.00 gamma=120.00
Space group P6_3/mmc (No. 194)
Symmetry-distinct sites (fractional):
Na1 0.3333 0.6667 0.2500 (multiplicity 2)
Ni1 0.0000 0.0000 0.0000 (multiplicity 2)
F1 0.0000 0.0000 0.2500 (multiplicity 2)

## Properties
The calculation puts the polymorph energy (0 for the lowest one) at 0.3892 eV per atom. The energy comes out at -0.1031 Ha/atom. For the volume, the calculation gives 17.61 Å³ per atom.

=====

Below is crystalline NaNiF at its relaxed geometry, with properties calculated at the PBE+U level.

Unit cell a=3.6162 b=3.6162 c=9.2017 alpha=90.00 beta=90.00 gamma=120.00
Space group P6_3/mmc (No. 194)
Symmetry-distinct sites (fractional):
Na1 0.0000 0.0000 0.0000 (multiplicity 2)
Ni1 0.3333 0.6667 0.2500 (multiplicity 2)
F1 0.3333 0.6667 0.7500 (multiplicity 2)

## Properties
The calculation puts the polymorph energy (0 for the lowest one) at 1.0258 eV per atom. The energy comes out at -0.0797 Ha/atom. For the volume, the calculation gives 17.37 Å³ per atom.

=====

Below is crystalline NaNi2F7 at its relaxed geometry, with properties calculated at the PBE+U level.

Unit cell a=5.998 b=11.789 c=3.672 alpha=90.00 beta=90.00 gamma=90.00
Space group Cmmm (No. 65)
Symmetry-distinct sites (fractional):
Na1 0.000 0.000 0.000 (multiplicity 2)
Ni1 0.000 0.339 0.500 (multiplicity 4)
F1 0.000 0.310 0.000 (multiplicity 4)
F2 0.000 0.500 0.500 (multiplicity 2)
F3 0.198 0.146 0.500 (multiplicity 8)

## Properties
The energy comes out at -0.1367 Ha/atom. For the volume, the calculation gives 12.98 Å³ per atom.

=====

Below is crystalline Na2NiF at its relaxed geometry, with properties calculated at the PBE+U level.

Unit cell a=6.727 b=6.727 c=6.727 alpha=90.00 beta=90.00 gamma=90.00
Space group Fm-3m (No. 225)
Symmetry-distinct sites (fractional):
Na1 0.250 0.250 0.250 (multiplicity 8)
Ni1 0.000 0.000 0.000 (multiplicity 4)
F1 0.000 0.000 0.500 (multiplicity 4)

## Properties
The energy comes out at -0.0749 Ha/atom. For the volume, the calculation gives 19.02 Å³ per atom.

=====

Below is crystalline NaNiF at its relaxed geometry, with properties calculated at the PBE+U level.

Unit cell a=3.9964 b=3.9964 c=3.3747 alpha=90.00 beta=90.00 gamma=120.00
Space group P-6m2 (No. 187)
Symmetry-distinct sites (fractional):
Na1 0.0000 0.0000 0.0000 (multiplicity 1)
Ni1 0.6667 0.3333 0.5000 (multiplicity 1)
F1 0.3333 0.6667 0.5000 (multiplicity 1)

## Properties
The calculation puts the polymorph energy (0 for the lowest one) at 0.7265 eV per atom. The energy comes out at -0.0907 Ha/atom. For the volume, the calculation gives 15.56 Å³ per atom.

=====

| no. | spin magnetization (μB per cell) |
| --- | --- |
| 1 | 2.1 |
| 2 | 3.7 |
| 3 | 21.1 |
| 4 | 4.2 |
| 5 | 5.8 |
| 6 | 4.2 |
| 7 | 4.1 |
| 8 | 2.2 |
| 9 | 3.5 |
| 10 | 8.0 |
| 11 | 8.0 |
| 12 | 3.2 |
| 13 | 72.5 |
| 14 | 3.9 |
| 15 | 1.8 |
| 16 | 2.0 |
| 17 | 4.0 |
| 18 | 4.0 |
| 19 | 0.8 |